1.
## MnFe (PBE)

Data for a geometry-optimized MnFe structure.

Results
The total energy is -8.723 eV per atom. For the total magnetization, the calculation gives 6.3 μB/cell. Its calculated volume is 22.4 Å³/f.u.

Unit cell a=2.4367 b=2.4367 c=8.0565 alpha=90.00 beta=90.00 gamma=110.22
Last column: magnetic moment on the atom in μB.
Element x y z (fractional)
Mn (0.5000, 0.5000, 0.2542)  0.87
Mn (0.0000, 0.0000, 0.4958)  0.87
Fe (0.0000, 0.0000, 0.0017)  2.33
Fe (0.5000, 0.5000, 0.7483)  2.33

2.
## LiTbSc (PBE)

Data for a geometry-optimized LiTbSc structure.

Results
For the total magnetization, the calculation gives 1.0 μB/cell. The energy above the most stable polymorph in this dataset is 285 meV per atom. Its calculated volume is 84.5 Å³/f.u.

Unit cell a=3.9730 b=3.9730 c=10.7053 alpha=90.00 beta=90.00 gamma=90.00
Last column: magnetic moment on the atom in μB.
Element x y z (fractional)
Sc (0.0000, 0.0000, 0.0000)  0.08
Sc (0.5000, 0.5000, 0.0000)  0.08
Li (0.5000, 0.0000, 0.5598)  0.00
Li (0.0000, 0.5000, 0.4402)  0.00
Tb (0.5000, 0.0000, 0.2567)  0.22
Tb (0.0000, 0.5000, 0.7433)  0.22

3.
## Pr5Ga2Si (PBE)

Data for a geometry-optimized Pr5Ga2Si structure.

Results
For the total magnetization, the calculation gives 0.0 μB/cell. The formation energy (no corrections) comes out at -0.4689 eV per atom. Its calculated volume is 225.2 Å³/f.u.

Unit cell a=7.9320 b=7.9320 c=9.0945 alpha=115.85 beta=115.85 gamma=90.00
Element x y z (fractional)
Pr (0.8261, 0.9765, 0.3026)
Pr (0.4765, 0.3261, 0.3026)
Pr (0.1739, 0.0235, 0.6974)
Pr (0.5000, 0.5000, 0.0000)
Pr (0.0235, 0.5235, 0.6974)
Pr (0.5235, 0.6739, 0.6974)
Pr (0.9765, 0.4765, 0.3026)
Pr (0.6739, 0.1739, 0.6974)
Pr (0.0000, 0.0000, 0.0000)
Pr (0.3261, 0.8261, 0.3026)
Ga (0.1169, 0.3831, 0.0000)
Ga (0.8831, 0.6169, 0.0000)
Ga (0.6169, 0.1169, 0.0000)
Ga (0.3831, 0.8831, 0.0000)
Si (0.2500, 0.2500, 0.5000)
Si (0.7500, 0.7500, 0.5000)

4.
## BaCuHg3 (PBE)

Data for a geometry-optimized BaCuHg3 structure.

Results
For the total magnetization, the calculation gives 0.0 μB/cell. The energy above the most stable polymorph in this dataset is 0 meV per atom. Its calculated volume is 141.7 Å³/f.u.

Unit cell a=5.2138 b=5.2138 c=5.2138 alpha=90.00 beta=90.00 gamma=90.00
Element x y z (fractional)
Hg (0.0000, 0.0000, 0.5000)
Hg (0.5000, 0.0000, 0.0000)
Hg (0.0000, 0.5000, 0.0000)
Cu (0.0000, 0.0000, 0.0000)
Ba (0.5000, 0.5000, 0.5000)

- Among the records above, which one has the highest total magnetization?
  MnFe

- The highest calculated volume belongs to which entry?
  Pr5Ga2Si